This record from Alexandria via LeMat-Bulk describes crystalline Li3CdGe2 at its relaxed geometry. The functional is GGA-PBE.

Final energy, eV per formula unit: -17.4
Magnetization, μB/f.u.: 0.00
DFT formation energy, eV/atom: -0.25

Unit cell a=2.8075 b=2.8075 c=12.8308 alpha=90.00 beta=90.00 gamma=90.00
Space group P4/mmm (No. 123)
Symmetry-distinct sites (fractional):
Li (0.0000, 0.0000, 0.0000)
Li (0.0000, 0.0000, 0.3181)
Cd (0.5000, 0.5000, 0.5000)
Ge (0.5000, 0.5000, 0.1632)

***

This record from Alexandria via LeMat-Bulk describes crystalline Li3Cd4Ge at its relaxed geometry. The functional is GGA-PBE.

Final energy, eV per formula unit: -15.0
Magnetization, μB/f.u.: 0.00
DFT formation energy, eV/atom: -0.13

Unit cell a=3.0751 b=4.2339 c=12.2584 alpha=99.01 beta=96.83 gamma=90.11
Space group P-1 (No. 2)
Symmetry-distinct sites (fractional):
Li (0.0000, 0.0000, 0.0000)
Li (0.1478, 0.6562, 0.3030)
Cd (0.2844, 0.7801, 0.5661)
Cd (0.4098, 0.9027, 0.8127)
Ge (0.5000, 0.5000, 0.0000)

***

This record from Alexandria via LeMat-Bulk describes crystalline Li2CdGe2 at its relaxed geometry. The functional is GGA-PBE.

Final energy, eV per formula unit: -14.4
Magnetization, μB/f.u.: 0.00
DFT formation energy, eV/atom: -0.08

Unit cell a=7.5255 b=7.5255 c=3.2351 alpha=90.00 beta=90.00 gamma=90.00
Space group P4/mbm (No. 127)
Symmetry-distinct sites (fractional):
Li (0.1771, 0.3229, 0.0000)
Cd (0.0000, 0.0000, 0.0000)
Ge (0.1196, 0.6196, 0.5000)

***

This record from Alexandria via LeMat-Bulk describes crystalline Li5CdGe at its relaxed geometry. The functional is GGA-PBE.

Final energy, eV per formula unit: -16.7
Magnetization, μB/f.u.: 0.00
DFT formation energy, eV/atom: -0.23

Unit cell a=7.3229 b=6.1839 c=10.8051 alpha=90.00 beta=90.06 gamma=90.00
Space group C2/c (No. 15)
Symmetry-distinct sites (fractional):
Li (0.0000, 0.0739, 0.2500)
Li (0.2004, 0.3423, 0.3980)
Li (0.2000, 0.3429, 0.1016)
Cd (0.0000, 0.3638, 0.7500)
Ge (0.0000, 0.0000, 0.0000)

***

This record from Alexandria via LeMat-Bulk describes crystalline LiCd2Ge2 at its relaxed geometry. The functional is GGA-PBE.

Final energy, eV per formula unit: -12.7
Magnetization, μB/f.u.: 0.00
DFT formation energy, eV/atom: 0.05

Unit cell a=4.0706 b=4.0706 c=13.3850 alpha=90.00 beta=90.00 gamma=90.00
Space group I4/mmm (No. 139)
Symmetry-distinct sites (fractional):
Li (0.0000, 0.0000, 0.0000)
Cd (0.0000, 0.0000, 0.3982)
Ge (0.0000, 0.5000, 0.2500)

***

This record from Alexandria via LeMat-Bulk describes crystalline Li8CdGe2 at its relaxed geometry. The functional is GGA-PBE.

Final energy, eV per formula unit: -28.0
Magnetization, μB/f.u.: 0.00
DFT formation energy, eV/atom: -0.23

Unit cell a=4.5546 b=7.8658 c=10.5903 alpha=90.00 beta=90.00 gamma=90.00
Space group Immm (No. 71)
Symmetry-distinct sites (fractional):
Li (0.0000, 0.0000, 0.1419)
Li (0.0000, 0.1935, 0.3336)
Li (0.0000, 0.3173, 0.0000)
Cd (0.0000, 0.5000, 0.5000)
Ge (0.0000, 0.5000, 0.2219)

***

Look up the DFT formation energy of the first one. -0.25 eV/atom

***

Look up the DFT formation energy of the third one. -0.08 eV/atom